# 1
Here is a geometry-optimized HfAl2V2 structure from the Alexandria database. Energies are from PBE.

Unit cell a=3.126 b=4.233 c=6.695 alpha=108.46 beta=103.50 gamma=90.00
Fractional coordinates of all 5 atoms:
Al (0.398, 0.397, 0.795)
Hf (0.000, 0.000, 0.000)
Al (0.602, 0.603, 0.205)
V (0.731, 0.232, 0.463)
V (0.269, 0.768, 0.537)

* energy above the lowest structure with this stoichiometry: 0 meV per atom
* mass density: 6.816 Mg/m³
* space-group type: Immm, No. 71
* VASP energy: -7.318 eV per atom
* energy relative to the elements: -183 meV per atom



# 2
Here is a geometry-optimized Hf2Al2V15 structure from the Alexandria database. Energies are from PBE.

Unit cell a=6.604 b=6.604 c=6.604 alpha=85.62 beta=85.62 gamma=85.62
Fractional coordinates of all 19 atoms:
V (0.000, 0.000, 0.500)
V (0.311, 0.689, 0.000)
Hf (0.652, 0.652, 0.652)
V (0.843, 0.351, 0.351)
V (0.500, 0.000, 0.000)
Al (0.106, 0.106, 0.106)
V (0.157, 0.649, 0.649)
Hf (0.348, 0.348, 0.348)
V (0.689, 0.311, 0.000)
V (0.689, 0.000, 0.311)
V (0.000, 0.689, 0.311)
Al (0.894, 0.894, 0.894)
V (0.351, 0.843, 0.351)
V (0.351, 0.351, 0.843)
V (0.311, 0.000, 0.689)
V (0.649, 0.649, 0.157)
V (0.000, 0.500, 0.000)
V (0.000, 0.311, 0.689)
V (0.649, 0.157, 0.649)

* mass density: 6.832 Mg/m³
* space-group type: R-3m, No. 166
* VASP energy: -8.573 eV per atom
* energy relative to the elements: 67 meV per atom



# 3
Here is a geometry-optimized HfAlV2 structure from the Alexandria database. Energies are from PBE.

Unit cell a=2.909 b=2.909 c=9.257 alpha=80.96 beta=80.96 gamma=60.00
Fractional coordinates of all 4 atoms:
V (0.253, 0.253, 0.240)
Hf (0.500, 0.500, 0.500)
V (0.747, 0.747, 0.760)
Al (0.000, 0.000, 0.000)

* mass density: 7.649 Mg/m³
* space-group type: R-3m, No. 166
* VASP energy: -7.783 eV per atom
* energy relative to the elements: 201 meV per atom



# 4
Here is a geometry-optimized HfAl4V structure from the Alexandria database. Energies are from PBE.

Unit cell a=5.155 b=5.155 c=5.155 alpha=60.00 beta=60.00 gamma=60.00
Fractional coordinates of all 6 atoms:
Al (0.625, 0.124, 0.625)
V (0.250, 0.250, 0.250)
Al (0.625, 0.625, 0.625)
Al (0.124, 0.625, 0.625)
Al (0.625, 0.625, 0.124)
Hf (0.000, 0.000, 0.000)

* energy above the lowest structure with this stoichiometry: 0 meV per atom
* mass density: 5.783 Mg/m³
* space-group type: F-43m, No. 216
* VASP energy: -5.884 eV per atom
* energy relative to the elements: -211 meV per atom



# 5
Here is a geometry-optimized Hf3AlV structure from the Alexandria database. Energies are from PBE.

Unit cell a=4.952 b=4.952 c=4.952 alpha=90.00 beta=90.00 gamma=90.00
Last column: magnetic moment on the atom in μB.
Fractional coordinates of all 5 atoms:
Hf (0.000, 0.000, 0.500)  0.04
Al (0.000, 0.000, 0.000)  0.02
Hf (0.000, 0.500, 0.000)  0.04
V (0.500, 0.500, 0.500)  2.56
Hf (0.500, 0.000, 0.000)  0.04

* energy above the lowest structure with this stoichiometry: 349 meV per atom
* mass density: 8.389 Mg/m³
* space-group type: Pm-3m, No. 221
* VASP energy: -7.485 eV per atom
* energy relative to the elements: 1060 meV per atom



# 6
Here is a geometry-optimized HfAl2V2 structure from the Alexandria database. Energies are from PBE.

Unit cell a=3.974 b=3.974 c=6.088 alpha=70.95 beta=70.95 gamma=90.00
Fractional coordinates of all 5 atoms:
V (0.411, 0.411, 0.179)
V (0.589, 0.589, 0.821)
Al (0.750, 0.250, 0.500)
Al (0.250, 0.750, 0.500)
Hf (0.000, 0.000, 0.000)

* energy above the lowest structure with this stoichiometry: 282 meV per atom
* mass density: 6.509 Mg/m³
* space-group type: I4/mmm, No. 139
* VASP energy: -7.035 eV per atom
* energy relative to the elements: 100 meV per atom



# 7
Here is a geometry-optimized Hf3AlV8 structure from the Alexandria database. Energies are from PBE.

Unit cell a=5.129 b=5.129 c=8.916 alpha=73.28 beta=73.28 gamma=60.00
Fractional coordinates of all 12 atoms:
Hf (0.501, 0.501, 0.498)
V (0.437, 0.437, 0.190)
V (0.942, 0.431, 0.685)
Hf (0.375, 0.375, 0.874)
V (0.935, 0.437, 0.190)
V (0.688, 0.688, 0.937)
V (0.187, 0.187, 0.439)
V (0.942, 0.942, 0.685)
V (0.431, 0.942, 0.685)
Hf (0.999, 0.999, 0.003)
Al (0.875, 0.875, 0.374)
V (0.437, 0.935, 0.190)

* mass density: 8.407 Mg/m³
* space-group type: R3m, No. 160
* VASP energy: -8.881 eV per atom
* energy relative to the elements: -2 meV per atom



# 8
Here is a geometry-optimized HfAl2V2 structure from the Alexandria database. Energies are from PBE.

Unit cell a=7.156 b=7.156 c=3.146 alpha=90.00 beta=90.00 gamma=90.00
Fractional coordinates of all 10 atoms:
Al (0.376, 0.876, 0.000)
Al (0.876, 0.624, 0.000)
V (0.673, 0.827, 0.500)
V (0.827, 0.327, 0.500)
Hf (0.500, 0.500, 0.000)
Hf (0.000, 0.000, 0.000)
V (0.173, 0.673, 0.500)
Al (0.624, 0.124, 0.000)
Al (0.124, 0.376, 0.000)
V (0.327, 0.173, 0.500)

* energy above the lowest structure with this stoichiometry: 30 meV per atom
* mass density: 6.892 Mg/m³
* space-group type: P4/mbm, No. 127
* VASP energy: -7.288 eV per atom
* energy relative to the elements: -153 meV per atom



# 9
Here is a geometry-optimized Hf3Al2V4 structure from the Alexandria database. Energies are from PBE.

Unit cell a=4.570 b=4.570 c=8.414 alpha=89.99 beta=90.00 gamma=120.00
Last column: magnetic moment on the atom in μB.
Fractional coordinates of all 9 atoms:
Hf (0.333, 0.667, 0.577)  0.01
V (0.667, 0.333, 0.090)  0.02
V (0.000, 0.000, 0.651)  1.21
Al (0.667, 0.333, 0.779)  -0.01
Hf (0.667, 0.333, 0.423)  0.01
V (0.333, 0.667, 0.910)  0.02
Hf (0.000, 0.000, 0.000)  0.10
V (0.000, 0.000, 0.349)  1.21
Al (0.333, 0.667, 0.221)  -0.01

* mass density: 8.654 Mg/m³
* space-group type: P-3m1, No. 164
* VASP energy: -8.146 eV per atom
* energy relative to the elements: 56 meV per atom



# 10
Here is a geometry-optimized Hf3Al4V4 structure from the Alexandria database. Energies are from PBE.

Unit cell a=4.232 b=6.871 c=7.821 alpha=116.06 beta=105.70 gamma=90.00
Last column: magnetic moment on the atom in μB.
Fractional coordinates of all 11 atoms:
V (0.500, 0.142, 0.000)  0.06
V (0.774, 0.274, 0.547)  1.38
Hf (0.870, 0.870, 0.740)  -0.02
Hf (0.000, 0.500, 0.000)  0.01
V (0.500, 0.858, 0.000)  0.06
Al (0.335, 0.519, 0.669)  -0.01
Hf (0.130, 0.130, 0.260)  -0.02
V (0.226, 0.726, 0.453)  1.38
Al (0.335, 0.150, 0.669)  -0.01
Al (0.665, 0.481, 0.331)  -0.01
Al (0.665, 0.850, 0.331)  -0.01

* mass density: 7.222 Mg/m³
* space-group type: Immm, No. 71
* VASP energy: -7.258 eV per atom
* energy relative to the elements: 133 meV per atom



# 11
Here is a geometry-optimized Hf2Al3V structure from the Alexandria database. Energies are from PBE.

Unit cell a=5.295 b=5.295 c=8.639 alpha=90.00 beta=90.00 gamma=120.00
Last column: magnetic moment on the atom in μB.
Fractional coordinates of all 12 atoms:
Al (0.168, 0.337, 0.250)  0.00
Hf (0.333, 0.667, 0.552)  -0.06
Al (0.663, 0.832, 0.250)  0.00
Hf (0.333, 0.667, 0.948)  -0.06
Al (0.832, 0.663, 0.750)  0.00
Al (0.832, 0.168, 0.750)  0.00
Al (0.168, 0.832, 0.250)  0.00
V (0.000, 0.000, 0.500)  1.52
V (0.000, 0.000, 0.000)  1.52
Hf (0.667, 0.333, 0.052)  -0.06
Hf (0.667, 0.333, 0.448)  -0.06
Al (0.337, 0.168, 0.750)  0.00

* energy above the lowest structure with this stoichiometry: 23 meV per atom
* mass density: 7.741 Mg/m³
* space-group type: P6_3/mmc, No. 194
* VASP energy: -7.068 eV per atom
* energy relative to the elements: -360 meV per atom



# 12
Here is a geometry-optimized Hf2AlV2 structure from the Alexandria database. Energies are from PBE.

Unit cell a=6.782 b=6.782 c=3.885 alpha=90.00 beta=90.00 gamma=90.00
Fractional coordinates of all 10 atoms:
Hf (0.174, 0.674, 0.500)
V (0.623, 0.123, 0.000)
V (0.877, 0.623, 0.000)
V (0.123, 0.377, 0.000)
Hf (0.326, 0.174, 0.500)
Hf (0.826, 0.326, 0.500)
V (0.377, 0.877, 0.000)
Al (0.000, 0.000, 0.000)
Al (0.500, 0.500, 0.000)
Hf (0.674, 0.826, 0.500)

* mass density: 9.028 Mg/m³
* space-group type: P4/mbm, No. 127
* VASP energy: -8.398 eV per atom
* energy relative to the elements: -20 meV per atom